Compound: TbGePt4
Source: the Alexandria database
Functional: GGA-PBE
Structure: relaxed

```
TbGePt4
1.0
7.622 0.000 0.000
0.000 4.013 0.000
0.000 0.000 6.968
Tb Ge Pt
2 2 8
direct
0.250 0.000 0.140
0.750 0.000 0.860
0.250 0.000 0.727
0.750 0.000 0.273
0.000 0.000 0.500
0.048 0.500 0.808
0.250 0.500 0.446
0.452 0.500 0.808
0.500 0.000 0.500
0.548 0.500 0.192
0.750 0.500 0.554
0.952 0.500 0.192
```

D(E_F) in states/eV per cell: 2.7
Theoretical density in Mg/m³: 15.77
Energy in eV/atom: -6.34
Crystal system: orthorhombic